Density functional theory data (PBE-GGA) for a geometry-optimized Li3Tb2Hg4 structure.

Summary:
**Density of states at the Fermi level**: 4.25 states/eV/cell
**Offset from the most stable computed form**: 0.0 meV/atom
**Crystal system**: monoclinic
**Calculated formation energy**: -35.8 kJ/mol of atoms
**Raw total energy**: -2.17 eV/atom

Unit cell a=5.115 b=5.115 c=9.095 alpha=98.47 beta=98.47 gamma=57.23
Element x y z (fractional)
Li  0.000  0.000  0.000
Li  0.364  0.364  0.426
Li  0.636  0.636  0.574
Tb  0.302  0.302  0.770
Tb  0.698  0.698  0.230
Hg  0.049  0.049  0.355
Hg  0.355  0.355  0.112
Hg  0.645  0.645  0.888
Hg  0.951  0.951  0.645

Density functional theory data (PBE-GGA) for a geometry-optimized Pm4CdIn2Rh structure.

Summary:
**Density of states at the Fermi level**: 5.01 states/eV/cell
**Crystal system**: trigonal
**Calculated formation energy**: -45.5 kJ/mol of atoms
**Raw total energy**: -4.57 eV/atom

Unit cell a=9.151 b=9.151 c=9.151 alpha=34.05 beta=34.05 gamma=34.05
Element x y z (fractional)
Pm  0.114  0.114  0.114
Pm  0.368  0.368  0.368
Pm  0.632  0.632  0.632
Pm  0.886  0.886  0.886
Cd  0.500  0.500  0.500
In  0.241  0.241  0.241
In  0.759  0.759  0.759
Rh  0.000  0.000  0.000

Density functional theory data (PBE-GGA) for a geometry-optimized SmGa8Rh2 structure.

Summary:
**Density of states at the Fermi level**: 5.47 states/eV/cell
**Crystal system**: tetragonal
**Calculated formation energy**: -25.5 kJ/mol of atoms
**Raw total energy**: -4.23 eV/atom

Unit cell a=6.345 b=6.345 c=5.308 alpha=90.00 beta=90.00 gamma=90.00
Element x y z (fractional)
Sm  0.000  0.000  0.000
Ga  0.294  0.294  0.250
Ga  0.294  0.294  0.750
Ga  0.294  0.706  0.250
Ga  0.294  0.706  0.750
Ga  0.706  0.294  0.250
Ga  0.706  0.294  0.750
Ga  0.706  0.706  0.250
Ga  0.706  0.706  0.750
Rh  0.000  0.500  0.500
Rh  0.500  0.000  0.500

Density functional theory data (PBE-GGA) for a geometry-optimized TcNiP structure.

Summary:
**Density of states at the Fermi level**: 4.33 states/eV/cell
**Offset from the most stable computed form**: 181.3 meV/atom
**Crystal system**: monoclinic
**Calculated formation energy**: -31.0 kJ/mol of atoms
**Raw total energy**: -7.51 eV/atom

Unit cell a=4.599 b=4.599 c=5.902 alpha=90.60 beta=90.60 gamma=38.27
Element x y z (fractional)
Tc  0.000  0.000  0.000
Tc  0.676  0.676  0.323
Ni  0.269  0.269  0.706
Ni  0.947  0.947  0.467
P  0.285  0.285  0.075
P  0.566  0.566  0.691

Density functional theory data (PBE-GGA) for a geometry-optimized CsHgIF2 structure.

Summary:
**Crystal system**: orthorhombic
**Raw total energy**: -2.90 eV/atom

Unit cell a=7.683 b=7.683 c=8.604 alpha=90.00 beta=90.00 gamma=145.48
Element x y z (fractional)
Cs  0.226  0.774  0.750
Cs  0.774  0.226  0.250
Hg  0.500  0.500  0.000
Hg  0.500  0.500  0.500
I  0.042  0.958  0.250
I  0.958  0.042  0.750
F  0.356  0.644  0.045
F  0.356  0.644  0.455
F  0.644  0.356  0.545
F  0.644  0.356  0.955

Density functional theory data (PBE-GGA) for a geometry-optimized ZrMoPd2 structure.

Summary:
**Density of states at the Fermi level**: 9.35 states/eV/cell
**Offset from the most stable computed form**: 178.6 meV/atom
**Crystal system**: tetragonal
**Calculated formation energy**: 12.0 kJ/mol of atoms
**Raw total energy**: -7.32 eV/atom

Unit cell a=5.844 b=5.844 c=5.844 alpha=102.60 beta=102.60 gamma=124.31
Element x y z (fractional)
Zr  0.000  0.000  0.000
Zr  0.750  0.250  0.500
Mo  0.250  0.750  0.500
Mo  0.500  0.500  0.000
Pd  0.142  0.625  0.017
Pd  0.375  0.392  0.517
Pd  0.608  0.125  0.983
Pd  0.875  0.858  0.483

Density functional theory data (PBE-GGA) for a geometry-optimized YBe3Sn structure.

Summary:
**Density of states at the Fermi level**: 4.14 states/eV/cell
**Offset from the most stable computed form**: 898.7 meV/atom
**Crystal system**: cubic
**Calculated formation energy**: 164.3 kJ/mol of atoms
**Raw total energy**: -2.63 eV/atom

Unit cell a=4.991 b=4.991 c=4.991 alpha=90.00 beta=90.00 gamma=90.00
Element x y z (fractional)
Y  0.000  0.000  0.000
Be  0.000  0.000  0.500
Be  0.000  0.500  0.000
Be  0.500  0.000  0.000
Sn  0.500  0.500  0.500

Density functional theory data (PBE-GGA) for a geometry-optimized LaTb4NdEr2 structure.

Summary:
**Density of states at the Fermi level**: 21.53 states/eV/cell
**Crystal system**: monoclinic
**Calculated formation energy**: 2.0 kJ/mol of atoms
**Raw total energy**: -4.65 eV/atom

Unit cell a=7.180 b=7.182 c=10.126 alpha=90.00 beta=90.06 gamma=90.00
Element x y z (fractional)
La  0.000  0.000  0.000
La  0.500  0.000  0.000
Tb  0.248  0.253  0.254
Tb  0.248  0.253  0.746
Tb  0.248  0.747  0.254
Tb  0.248  0.747  0.746
Tb  0.752  0.253  0.254
Tb  0.752  0.253  0.746
Tb  0.752  0.747  0.254
Tb  0.752  0.747  0.746
Nd  0.500  0.000  0.500
Nd  0.500  0.500  0.000
Er  0.000  0.000  0.500
Er  0.000  0.500  0.500
Er  0.001  0.500  0.000
Er  0.500  0.500  0.500

Which value of raw total energy does entry 7 give?
-2.63 eV/atom

What is the formula in the fifth record?
CsHgIF2